1.
A relaxed Ca3AlSb3 crystal, computed with PBE.

abc: 6.6874 10.4718 13.0518
angles: 90.00 90.00 108.62
With the nearest neighbours (Å) after each atom.
Sites, in units of the cell vectors:
Sb 0.0608 0.6759 0.1263  1 Al 2.67
Sb 0.7224 0.0000 0.6128  2 Al 2.71
Sb 0.7776 0.0000 0.1128  2 Al 2.71
Sb 0.2776 0.0000 0.3872  2 Al 2.71
Sb 0.4392 0.3241 0.6263  1 Al 2.67
Sb 0.2224 0.0000 0.8872  2 Al 2.71
Sb 0.5608 0.6759 0.3737  1 Al 2.67
Sb 0.8849 0.3241 0.3737  1 Al 2.67
Sb 0.6151 0.6759 0.8737  1 Al 2.67
Sb 0.3849 0.3241 0.1263  1 Al 2.67
Sb 0.1151 0.6759 0.6263  1 Al 2.67
Sb 0.9392 0.3241 0.8737  1 Al 2.67
Al 0.5870 0.1741 0.5000  4 Sb 2.67-2.71
Al 0.9130 0.8259 0.0000  4 Sb 2.67-2.71
Al 0.0870 0.1741 0.0000  4 Sb 2.67-2.71
Al 0.4130 0.8259 0.5000  4 Sb 2.67-2.71
Ca 0.3775 0.3548 0.3719  1 Al 3.17, 5 Sb 3.19-3.51
Ca 0.4772 0.3548 0.8719  1 Al 3.17, 5 Sb 3.19-3.51
Ca 0.1225 0.6452 0.8719  1 Al 3.17, 5 Sb 3.19-3.51
Ca 0.8775 0.3548 0.1281  1 Al 3.17, 5 Sb 3.19-3.51
Ca 0.8065 0.0000 0.3554  5 Sb 3.17-3.41, 2 Al 3.28
Ca 0.1935 0.0000 0.6446  5 Sb 3.17-3.41, 2 Al 3.28
Ca 0.3065 0.0000 0.1446  5 Sb 3.17-3.41, 2 Al 3.28
Ca 0.9772 0.3548 0.6281  1 Al 3.17, 5 Sb 3.19-3.51
Ca 0.0228 0.6452 0.3719  1 Al 3.17, 5 Sb 3.19-3.51
Ca 0.6225 0.6452 0.6281  1 Al 3.17, 5 Sb 3.19-3.51
Ca 0.6935 0.0000 0.8554  5 Sb 3.17-3.41, 2 Al 3.28
Ca 0.5228 0.6452 0.1281  1 Al 3.17, 5 Sb 3.19-3.51

***

2.
A relaxed CaAlSb crystal, computed with PBE.

abc: 5.0726 5.0726 5.0726
angles: 60.00 60.00 60.00
With the nearest neighbours (Å) after each atom.
Sites, in units of the cell vectors:
Ca 0.2500 0.2500 0.2500  4 Sb 3.11, 4 Al 3.11
Al 0.5000 0.5000 0.5000  4 Ca 3.11
Sb 0.0000 0.0000 0.0000  4 Ca 3.11

***

3.
A relaxed CaAlSb2 crystal, computed with PBE.

abc: 5.3402 5.3402 5.3402
angles: 60.00 60.00 60.00
With the nearest neighbours (Å) after each atom.
Sites, in units of the cell vectors:
Sb 0.2500 0.2500 0.2500  4 Al 3.27, 4 Sb 3.27
Sb 0.0000 0.0000 0.0000  4 Sb 3.27, 4 Ca 3.27
Ca 0.7500 0.7500 0.7500  4 Sb 3.27, 4 Al 3.27
Al 0.5000 0.5000 0.5000  4 Sb 3.27, 4 Ca 3.27

***

4.
A relaxed CaAlSb2 crystal, computed with PBE.

abc: 3.3446 3.3446 9.8140
angles: 90.00 90.00 90.00
With the nearest neighbours (Å) after each atom.
Sites, in units of the cell vectors:
Al 0.0000 0.0000 0.4908  4 Sb 2.95
Ca 0.5000 0.5000 0.7285  4 Al 3.32, 4 Sb 3.34, 4 Ca 3.34
Sb 0.5000 0.5000 0.3120  4 Al 2.95
Sb 0.0000 0.0000 0.9687  4 Ca 3.34, 4 Sb 3.34

***

5.
A relaxed CaAlSb2 crystal, computed with PBE.

abc: 6.8734 6.3087 11.0342
angles: 97.87 90.00 90.00
With the nearest neighbours (Å) after each atom.
Sites, in units of the cell vectors:
Al 0.0994 0.4178 0.6137  4 Sb 2.69-2.83
Al 0.9006 0.9178 0.1137  4 Sb 2.69-2.83
Al 0.0994 0.0822 0.8863  4 Sb 2.69-2.83
Al 0.9006 0.5822 0.3863  4 Sb 2.69-2.83
Sb 0.7292 0.9682 0.3351  2 Al 2.69-2.83
Sb 0.2708 0.0318 0.6649  2 Al 2.69-2.83
Sb 0.2861 0.5477 0.4213  2 Al 2.69-2.70
Sb 0.7139 0.4523 0.5787  2 Al 2.69-2.70
Sb 0.2708 0.4682 0.8351  2 Al 2.69-2.83
Sb 0.7292 0.5318 0.1649  2 Al 2.69-2.83
Sb 0.2861 0.9523 0.0787  2 Al 2.69-2.70
Sb 0.7139 0.0477 0.9213  2 Al 2.69-2.70
Ca 0.7630 0.5338 0.8703  6 Sb 3.21-3.53, 1 Al 3.49
Ca 0.2370 0.4662 0.1297  6 Sb 3.21-3.53, 1 Al 3.49
Ca 0.7630 0.9662 0.6297  6 Sb 3.21-3.53, 1 Al 3.49
Ca 0.2370 0.0338 0.3703  6 Sb 3.21-3.53, 1 Al 3.49

***

6.
A relaxed CaAlSb2 crystal, computed with PBE.

abc: 4.1860 4.1860 6.2056
angles: 90.00 90.00 90.00
With the nearest neighbours (Å) after each atom.
Sites, in units of the cell vectors:
Al 0.0000 0.0000 0.4591  6 Sb 2.94-3.26
Ca 0.5000 0.5000 0.7991  6 Sb 3.04-3.16
Sb 0.0000 0.0000 0.9331  2 Al 2.94-3.26, 4 Ca 3.07
Sb 0.5000 0.5000 0.3087  2 Ca 3.04-3.16, 4 Al 3.10

***

| no. | electronic total energy (eV per cell) | formation energy (no corrections) (eV/atom) |
| --- | --- | --- |
| 1 | -111.3 | -0.82 |
| 2 | -10.2 | -0.10 |
| 3 | -14.2 | -0.06 |
| 4 | -14.4 | -0.11 |
| 5 | -63.0 | -0.44 |
| 6 | -14.9 | -0.23 |